LaFe2Cu2 | PBE | relaxed

```
data_LaFe2Cu2
_chemical_formula_sum 'La2 Fe4 Cu4'
_symmetry_space_group_name_H-M 'I 4/m m m'
_symmetry_Int_Tables_number 139
_symmetry_space_group_name_Hall '-I 4 2'
_cell_length_a 4.0432
_cell_length_b 4.0432
_cell_length_c 10.3638
_cell_angle_alpha 90.00
_cell_angle_beta 90.00
_cell_angle_gamma 90.00
loop_
_atom_site_label
_atom_site_type_symbol
_atom_site_fract_x
_atom_site_fract_y
_atom_site_fract_z
La1 La 0.0000 0.0000 0.0000
Fe1 Fe 0.0000 0.0000 0.3891
Cu1 Cu 0.0000 0.5000 0.2500
```

Computed properties:
* polymorph energy (0 for the lowest one): 0 meV per atom



RbSn2As3 | PBE | relaxed

```
data_RbSn2As3
_chemical_formula_sum 'Rb4 Sn8 As12'
_symmetry_space_group_name_H-M 'C m c m'
_symmetry_Int_Tables_number 63
_symmetry_space_group_name_Hall '-C 2c 2'
_cell_length_a 6.5074
_cell_length_b 17.3812
_cell_length_c 7.0836
_cell_angle_alpha 90.00
_cell_angle_beta 90.00
_cell_angle_gamma 90.00
loop_
_atom_site_label
_atom_site_type_symbol
_atom_site_fract_x
_atom_site_fract_y
_atom_site_fract_z
Rb1 Rb 0.0000 0.2019 0.2500
Sn1 Sn 0.2452 0.0000 0.0000
As1 As 0.0000 0.4154 0.7500
As2 As 0.1804 0.1282 0.7500
```

Computed properties:
* total energy: -96.698 eV per cell



BaSi2Br | PBE | relaxed

```
data_BaSi2Br
_chemical_formula_sum 'Ba1 Si2 Br1'
_symmetry_space_group_name_H-M 'P 1 m 1'
_symmetry_Int_Tables_number 6
_cell_length_a 4.6982
_cell_length_b 3.9966
_cell_length_c 6.8691
_cell_angle_alpha 90.00
_cell_angle_beta 108.44
_cell_angle_gamma 90.00
loop_
_symmetry_equiv_pos_as_xyz
'x,y,z'
'x,-y,z'
loop_
_atom_site_label
_atom_site_type_symbol
_atom_site_fract_x
_atom_site_fract_y
_atom_site_fract_z
Ba1 Ba 0.0000 0.0000 0.0000
Si1 Si 0.6526 0.0000 0.4251
Si2 Si 0.8729 0.5000 0.3829
Br1 Br 0.4225 0.5000 0.8288
```

Computed properties:
* polymorph energy (0 for the lowest one): 161 meV per atom
* formation energy without anion corrections: -1.71 eV per formula unit



La6GaAg5 | PBE | relaxed

```
data_La6GaAg5
_chemical_formula_sum 'La12 Ga2 Ag10'
_symmetry_space_group_name_H-M 'I m m m'
_symmetry_Int_Tables_number 71
_symmetry_space_group_name_Hall '-I 2 2'
_cell_length_a 5.3993
_cell_length_b 7.6419
_cell_length_c 16.1929
_cell_angle_alpha 90.00
_cell_angle_beta 90.00
_cell_angle_gamma 90.00
loop_
_atom_site_label
_atom_site_type_symbol
_atom_site_fract_x
_atom_site_fract_y
_atom_site_fract_z
La1 La 0.0000 0.2452 0.0000
La2 La 0.0000 0.2528 0.3356
Ga1 Ga 0.0000 0.5000 0.5000
Ag1 Ag 0.0000 0.0000 0.1684
Ag2 Ag 0.0000 0.0000 0.5000
Ag3 Ag 0.0000 0.5000 0.1670
```

Computed properties:
* total energy: -101.127 eV per cell



Cs2RbTiBr6 | PBE | relaxed

```
data_Cs2RbTiBr6
_chemical_formula_sum 'Cs4 Rb2 Ti2 Br12'
_symmetry_space_group_name_H-M 'P m m n'
_symmetry_Int_Tables_number 59
_cell_length_a 7.9422
_cell_length_b 11.7394
_cell_length_c 8.8835
_cell_angle_alpha 90.00
_cell_angle_beta 90.00
_cell_angle_gamma 90.00
loop_
_symmetry_equiv_pos_as_xyz
'x,y,z'
'-x,-y,-z'
'-x+1/2,-y+1/2,z'
'x+1/2,y+1/2,-z'
'x+1/2,-y,-z'
'-x+1/2,y,z'
'-x,y+1/2,-z'
'x,-y+1/2,z'
loop_
_atom_site_label
_atom_site_type_symbol
_atom_site_fract_x
_atom_site_fract_y
_atom_site_fract_z
Cs1 Cs 0.2500 0.0258 0.2009
Rb1 Rb 0.2500 0.2500 0.7051
Ti1 Ti 0.2500 0.7500 0.7883
Br1 Br 0.0158 0.7500 0.5852
Br2 Br 0.0219 0.7500 0.0018
Br3 Br 0.2500 0.5279 0.7877
```

Computed properties:
* formation energy without anion corrections: -15.52 eV per formula unit



Nd3Zr | PBE | relaxed

```
data_Nd3Zr
_chemical_formula_sum 'Nd6 Zr2'
_symmetry_space_group_name_H-M 'I 4/m m m'
_symmetry_Int_Tables_number 139
_symmetry_space_group_name_Hall '-I 4 2'
_cell_length_a 5.0197
_cell_length_b 5.0197
_cell_length_c 9.9526
_cell_angle_alpha 90.00
_cell_angle_beta 90.00
_cell_angle_gamma 90.00
loop_
_atom_site_label
_atom_site_type_symbol
_atom_site_fract_x
_atom_site_fract_y
_atom_site_fract_z
Nd1 Nd 0.0000 0.0000 0.0000
Nd2 Nd 0.0000 0.5000 0.2500
Zr1 Zr 0.0000 0.0000 0.5000
```

Computed properties:
* polymorph energy (0 for the lowest one): 3 meV per atom



Looking at calculated volume for the records above, in order, we have 16.9, 33.4, 30.6, 27.8, 41.4, 31.3 A^3/atom.